Entry 1:
Density functional theory data (PBE) for crystalline BaAcEu2 at its relaxed geometry.

Lattice parameters (Å, degrees): 6.5148 6.5148 4.4691 90.00 90.00 90.00
Atoms (fractional coordinates):
Ba  0.0000  0.0000  0.0000
Ac  0.5000  0.5000  0.0000
Eu  0.0000  0.5000  0.5000
Eu  0.5000  0.0000  0.5000

Summary:
total magnetic moment	3.752	μB/atom
crystal system	tetragonal
space group	P4/mmm, No. 123
energy of formation	31	kJ/mol of formula units

Entry 2:
Density functional theory data (PBE) for crystalline BaAcEuGd at its relaxed geometry.

Lattice parameters (Å, degrees): 6.2747 6.2747 6.2747 60.00 60.00 60.00
Atoms (fractional coordinates):
Ba  0.0000  0.0000  0.0000
Ac  0.2500  0.2500  0.2500
Eu  0.7500  0.7500  0.7500
Gd  0.5000  0.5000  0.5000

Summary:
total magnetic moment	0.003	μB/atom
crystal system	cubic
space group	F-43m, No. 216
energy of formation	65	kJ/mol of formula units

Entry 3:
Density functional theory data (PBE) for crystalline BaAcEuMg at its relaxed geometry.

Lattice parameters (Å, degrees): 6.1938 6.1938 6.1938 60.00 60.00 60.00
Atoms (fractional coordinates):
Ba  0.0000  0.0000  0.0000
Ac  0.2500  0.2500  0.2500
Eu  0.5000  0.5000  0.5000
Mg  0.7500  0.7500  0.7500

Summary:
total magnetic moment	1.884	μB/atom
crystal system	cubic
space group	F-43m, No. 216
energy of formation	53	kJ/mol of formula units

Entry 4:
Density functional theory data (PBE) for crystalline BaNaAcEu at its relaxed geometry.

Lattice parameters (Å, degrees): 6.4373 6.4373 6.4373 60.00 60.00 60.00
Atoms (fractional coordinates):
Ba  0.0000  0.0000  0.0000
Na  0.7500  0.7500  0.7500
Ac  0.2500  0.2500  0.2500
Eu  0.5000  0.5000  0.5000

Summary:
total magnetic moment	1.942	μB/atom
crystal system	cubic
space group	F-43m, No. 216
energy of formation	79	kJ/mol of formula units

Entry 5:
Density functional theory data (PBE) for crystalline BaAcNdEu at its relaxed geometry.

Lattice parameters (Å, degrees): 6.3201 6.3201 6.3201 60.00 60.00 60.00
Atoms (fractional coordinates):
Ba  0.0000  0.0000  0.0000
Ac  0.7500  0.7500  0.7500
Nd  0.5000  0.5000  0.5000
Eu  0.2500  0.2500  0.2500

Summary:
total magnetic moment	1.869	μB/atom
crystal system	cubic
space group	F-43m, No. 216
energy of formation	65	kJ/mol of formula units

Entry 6:
Density functional theory data (PBE) for crystalline BaAcEuPb at its relaxed geometry.

Lattice parameters (Å, degrees): 6.1145 6.1145 6.1145 60.00 60.00 60.00
Atoms (fractional coordinates):
Ba  0.0000  0.0000  0.0000
Ac  0.5000  0.5000  0.5000
Eu  0.7500  0.7500  0.7500
Pb  0.2500  0.2500  0.2500

Summary:
total magnetic moment	1.881	μB/atom
crystal system	cubic
space group	F-43m, No. 216
energy of formation	-61	kJ/mol of formula units

Entry 7:
Density functional theory data (PBE) for crystalline BaAcPmEu at its relaxed geometry.

Lattice parameters (Å, degrees): 6.3052 6.3052 6.3052 60.00 60.00 60.00
Atoms (fractional coordinates):
Ba  0.0000  0.0000  0.0000
Ac  0.7500  0.7500  0.7500
Pm  0.5000  0.5000  0.5000
Eu  0.2500  0.2500  0.2500

Summary:
total magnetic moment	1.861	μB/atom
crystal system	cubic
space group	F-43m, No. 216
energy of formation	67	kJ/mol of formula units

Entry 8:
Density functional theory data (PBE) for crystalline BaAcEuSn at its relaxed geometry.

Lattice parameters (Å, degrees): 6.0342 6.0342 6.0342 60.00 60.00 60.00
Atoms (fractional coordinates):
Ba  0.0000  0.0000  0.0000
Ac  0.5000  0.5000  0.5000
Eu  0.7500  0.7500  0.7500
Sn  0.2500  0.2500  0.2500

Summary:
total magnetic moment	1.874	μB/atom
crystal system	cubic
space group	F-43m, No. 216
energy of formation	-82	kJ/mol of formula units

Entry 9:
Density functional theory data (PBE) for crystalline BaAcTbEu at its relaxed geometry.

Lattice parameters (Å, degrees): 6.2644 6.2644 6.2644 60.00 60.00 60.00
Atoms (fractional coordinates):
Ba  0.0000  0.0000  0.0000
Ac  0.2500  0.2500  0.2500
Tb  0.5000  0.5000  0.5000
Eu  0.7500  0.7500  0.7500

Summary:
total magnetic moment	1.825	μB/atom
crystal system	cubic
space group	F-43m, No. 216
energy of formation	75	kJ/mol of formula units

Entry 10:
Density functional theory data (PBE) for crystalline BaAcEuTl at its relaxed geometry.

Lattice parameters (Å, degrees): 6.1232 6.1232 6.1232 60.00 60.00 60.00
Atoms (fractional coordinates):
Ba  0.0000  0.0000  0.0000
Ac  0.2500  0.2500  0.2500
Eu  0.5000  0.5000  0.5000
Tl  0.7500  0.7500  0.7500

Summary:
total magnetic moment	1.861	μB/atom
crystal system	cubic
space group	F-43m, No. 216
energy of formation	12	kJ/mol of formula units

Entry 11:
Density functional theory data (PBE) for crystalline BaAcEuTm at its relaxed geometry.

Lattice parameters (Å, degrees): 6.2372 6.2372 6.2372 60.00 60.00 60.00
Atoms (fractional coordinates):
Ba  0.0000  0.0000  0.0000
Ac  0.7500  0.7500  0.7500
Eu  0.2500  0.2500  0.2500
Tm  0.5000  0.5000  0.5000

Summary:
total magnetic moment	1.810	μB/atom
crystal system	cubic
space group	F-43m, No. 216
energy of formation	80	kJ/mol of formula units

Entry 12:
Density functional theory data (PBE) for crystalline BaAcEuY at its relaxed geometry.

Lattice parameters (Å, degrees): 6.2702 6.2702 6.2702 60.00 60.00 60.00
Atoms (fractional coordinates):
Ba  0.0000  0.0000  0.0000
Ac  0.2500  0.2500  0.2500
Eu  0.7500  0.7500  0.7500
Y  0.5000  0.5000  0.5000

Summary:
total magnetic moment	1.811	μB/atom
crystal system	cubic
space group	F-43m, No. 216
energy of formation	72	kJ/mol of formula units

- Among the records above, which one has the lowest energy of formation?
  BaAcEuSn

- Which of these has the highest total magnetic moment?
  BaAcEu2

- The highest total magnetic moment belongs to which entry?
  BaAcEu2